Entry A
MgAlInNi PBE optimized geometry; SG = No. 216
1.0
0.000 3.220 3.220
3.220 0.000 3.220
3.220 3.220 0.000
Al In Mg Ni
1 1 1 1
direct
0.500 0.500 0.500
0.000 0.000 0.000
0.750 0.750 0.750
0.250 0.250 0.250

Entry B
MgAlInNi PBE optimized geometry; SG = No. 216
1.0
0.000 3.253 3.253
3.253 0.000 3.253
3.253 3.253 0.000
Al In Mg Ni
1 1 1 1
direct
0.000 0.000 0.000
0.250 0.250 0.250
0.750 0.750 0.750
0.500 0.500 0.500

Which of them is most stable? Easy: entry A.

Entry A
TbAlInNi PBE optimized geometry; SG = No. 12
1.0
5.188 -2.084 0.000
5.188 2.084 0.000
-0.085 0.000 7.178
Al In Ni Tb
2 2 2 2
direct
0.655 0.655 0.055
0.345 0.345 0.945
0.645 0.645 0.449
0.355 0.355 0.551
0.216 0.216 0.228
0.784 0.784 0.772
0.936 0.936 0.233
0.064 0.064 0.767

Entry B
TbAlInNi PBE optimized geometry; SG = No. 38
1.0
-4.579 2.280 -4.965
-2.476 3.294 3.796
0.654 5.261 1.813
Al In Ni Tb
2 2 2 2
direct
0.309 0.654 0.654
0.691 0.654 0.654
0.204 0.356 0.356
0.796 0.356 0.356
0.500 0.203 0.203
0.000 0.769 0.769
0.000 0.068 0.068
0.500 0.940 0.940

Which of them is most stable? Easy: entry A.

Entry A
TaAlIn PBE optimized geometry; SG = No. 216
1.0
0.380 -0.937 4.433
-1.582 2.938 3.089
-3.701 -1.031 2.431
Al In Ta
1 1 1
direct
0.500 0.500 0.500
0.250 0.250 0.250
0.000 0.000 0.000

Entry B
TaAlIn PBE optimized geometry; SG = No. 216
1.0
0.000 3.252 3.252
3.252 0.000 3.252
3.252 3.252 0.000
Al In Ta
1 1 1
direct
0.250 0.250 0.250
0.750 0.750 0.750
0.000 0.000 0.000

Which of them is most stable? Easy: entry B.